[1]
Here is a geometry-optimized LiCeGdIr structure from Alexandria. Energies are from GGA-PBE.

abc: 7.0556 7.0556 7.0556
angles: 90.00 90.00 90.00
Space group F-43m (No. 216)
Inequivalent atoms, fractional coordinates:
Li 0.0000 0.0000 0.0000 (multiplicity 4)
Ce 0.2500 0.2500 0.2500 (multiplicity 4)
Gd 0.2500 0.2500 0.7500 (multiplicity 4)
Ir 0.0000 0.0000 0.5000 (multiplicity 4)

Output
Raw total energy   -8.100 eV per atom
Spin magnetization   6.4 μB/f.u.
ΔE_f   -403.0 meV/atom

=====

[2]
Here is a geometry-optimized CeGdMnIr structure from Alexandria. Energies are from GGA-PBE.

abc: 6.9652 6.9652 6.9652
angles: 90.00 90.00 90.00
Space group F-43m (No. 216)
Inequivalent atoms, fractional coordinates:
Ce 0.0000 0.0000 0.0000 (multiplicity 4)
Gd 0.0000 0.0000 0.5000 (multiplicity 4)
Mn 0.2500 0.2500 0.7500 (multiplicity 4)
Ir 0.2500 0.2500 0.2500 (multiplicity 4)

Output
Raw total energy   -9.751 eV per atom
Spin magnetization   5.1 μB/f.u.
ΔE_f   -239.8 meV/atom

=====

[3]
Here is a geometry-optimized CeGdIrPd structure from Alexandria. Energies are from GGA-PBE.

abc: 7.0424 7.0424 7.0424
angles: 90.00 90.00 90.00
Space group F-43m (No. 216)
Inequivalent atoms, fractional coordinates:
Ce 0.0000 0.0000 0.0000 (multiplicity 4)
Gd 0.0000 0.0000 0.5000 (multiplicity 4)
Ir 0.2500 0.2500 0.7500 (multiplicity 4)
Pd 0.2500 0.2500 0.2500 (multiplicity 4)

Output
Raw total energy   -9.244 eV per atom
Spin magnetization   6.4 μB/f.u.
ΔE_f   -726.6 meV/atom